A plane-wave DFT calculation with PBE was carried out for a relaxed structure of LiSmDy2S4.

It has space group P2/m (No. 10), with a = 6.7855 Å, b = 3.9094 Å, c = 6.7892 Å, α = 90.00°, β = 109.35° and γ = 90.00°. The distinct sites, in fractional coordinates, are Li at (0.0000, 0.0000, 0.0000), Sm at (0.5000, 0.5000, 0.0000), Dy at (0.0000, 0.5000, 0.5000), Dy at (0.5000, 0.0000, 0.5000), S at (0.2409, 0.0000, 0.7473) and S at (0.2445, 0.5000, 0.2504).

The energy relative to the elements, uncorrected comes out at -1.935 eV/atom. For the total magnetization, the calculation gives 0.0 μB per formula unit.